TbHo2Ga2 after structural relaxation, computed with GGA-PBE.

Output
- E_form (meV/atom) = -507
- polymorph energy (0 for the lowest one) (meV/atom) = 0
- crystal system = tetragonal
- calculated total energy (eV/atom) = -4.4748

Unit cell a=7.6384 b=7.6384 c=4.3114 alpha=90.00 beta=90.00 gamma=90.00
Last column: nearest neighbours and their distance in Å.
Space group P4/mbm (No. 127)
Inequivalent atoms, fractional coordinates:
Tb 0.0000 0.0000 0.0000 [2 per cell]  4 Ga 3.05
Ho 0.1742 0.3258 0.5000 [4 per cell]  6 Ga 3.10-3.14
Ga 0.1197 0.6197 0.0000 [4 per cell]  1 Ga 2.59


FeTc2Pt after structural relaxation, computed with GGA-PBE.

Output
- E_form (meV/atom) = -44
- polymorph energy (0 for the lowest one) (meV/atom) = 14
- crystal system = tetragonal
- calculated total energy (eV/atom) = -8.8534

Unit cell a=2.7292 b=2.7292 c=7.6266 alpha=90.00 beta=90.00 gamma=90.00
Last column: nearest neighbours and their distance in Å.
Space group P4mm (No. 99)
Inequivalent atoms, fractional coordinates:
Fe 0.0000 0.0000 0.0000 [1 per cell]  4 Tc 2.67, 4 Pt 2.70, 4 Fe 2.73
Tc 0.0000 0.0000 0.5149 [1 per cell]  8 Tc 2.68-2.73, 4 Pt 2.81
Tc 0.5000 0.5000 0.7580 [1 per cell]  4 Fe 2.67, 8 Tc 2.68-2.73
Pt 0.5000 0.5000 0.2468 [1 per cell]  4 Fe 2.70, 4 Pt 2.73, 4 Tc 2.81


CuAuBr after structural relaxation, computed with GGA-PBE.

Output
- polymorph energy (0 for the lowest one) (meV/atom) = 208
- crystal system = tetragonal
- calculated total energy (eV/atom) = -2.7591
- raw formation energy (kJ per mole of atoms) = 24.7

Unit cell a=3.0887 b=3.0887 c=13.1977 alpha=90.00 beta=90.00 gamma=90.00
Last column: nearest neighbours and their distance in Å.
Space group I4mm (No. 107)
Inequivalent atoms, fractional coordinates:
Cu 0.0000 0.0000 0.0000 [2 per cell]  4 Au 2.71, 4 Br 2.77
Au 0.0000 0.0000 0.3784 [2 per cell]  4 Cu 2.71
Br 0.0000 0.0000 0.6286 [2 per cell]  4 Cu 2.77, 4 Br 3.09


PmP4Ru4 after structural relaxation, computed with GGA-PBE.

Output
- E_form (meV/atom) = -647
- crystal system = tetragonal
- calculated total energy (eV/atom) = -7.7022

Unit cell a=5.9799 b=5.9799 c=7.7237 alpha=90.00 beta=90.00 gamma=90.00
Last column: nearest neighbours and their distance in Å.
Space group P4_2/nmc (No. 137, origin choice 2)
Inequivalent atoms, fractional coordinates:
Pm 0.2500 0.7500 0.2500 [2 per cell]  4 P 3.02, 4 Ru 3.34
P 0.0395 0.2500 0.0704 [8 per cell]  5 Ru 2.34-2.41, 1 P 2.52
Ru 0.0215 0.2500 0.3728 [8 per cell]  5 P 2.34-2.41


TlAgBr after structural relaxation, computed with GGA-PBE.

Output
- polymorph energy (0 for the lowest one) (meV/atom) = 99
- crystal system = cubic
- calculated total energy (eV/atom) = -2.3932
- raw formation energy (kJ per mole of atoms) = -9.3

Unit cell a=7.1111 b=7.1111 c=7.1111 alpha=90.00 beta=90.00 gamma=90.00
Last column: nearest neighbours and their distance in Å.
Space group F-43m (No. 216)
Inequivalent atoms, fractional coordinates:
Tl 0.0000 0.0000 0.0000 [4 per cell]  4 Ag 3.08
Ag 0.2500 0.2500 0.2500 [4 per cell]  4 Tl 3.08, 4 Br 3.08
Br 0.0000 0.0000 0.5000 [4 per cell]  4 Ag 3.08


KTlTc2Se after structural relaxation, computed with GGA-PBE.

Output
- crystal system = tetragonal
- calculated total energy (eV/atom) = -3.1109
- raw formation energy (kJ per mole of atoms) = 234.0

Unit cell a=5.2073 b=5.2073 c=5.7604 alpha=90.00 beta=90.00 gamma=90.00
Last column: nearest neighbours and their distance in Å.
Space group P4/mmm (No. 123)
Inequivalent atoms, fractional coordinates:
K 0.0000 0.0000 0.0000 [1 per cell]  4 Tc 2.60, 2 Tl 2.88
Tl 0.0000 0.0000 0.5000 [1 per cell]  2 K 2.88
Tc 0.0000 0.5000 0.0000 [2 per cell]  2 K 2.60
Se 0.5000 0.5000 0.5000 [1 per cell]  4 Tl 3.68, 8 Tc 3.88


Number 1: volume 252 Å³ per cell. Number 2: volume 57 Å³ per cell. Number 3: volume 126 Å³ per cell. Number 4: volume 276 Å³ per cell. Number 5: volume 360 Å³ per cell. Number 6: volume 156 Å³ per cell.